[1]
An optimized crystal structure of TcOsPt2, computed with GGA-PBEsol.

abc: 2.721 2.721 7.803
angles: 90.00 90.00 90.00
Positions (direct):
Tc  0.000  0.000  0.000
Os  0.500  0.500  0.228
Pt  0.000  0.000  0.483
Pt  0.500  0.500  0.750

Size of the total moment   0.00 μB per atom
Energy of formation from the pure elements   -0.088 eV per atom
Theoretical density   19.50 g/cm3
Space group   P4mm (99)
Crystal system   tetragonal
Fermi-level density of states   3.6 states/eV per cell
DFT total energy   -9.44 eV per atom

---

[2]
An optimized crystal structure of Tc2OsPt, computed with GGA-PBEsol.

abc: 4.718 4.718 2.700
angles: 90.00 90.00 110.15
Positions (direct):
Tc  0.000  0.500  0.000
Tc  0.500  0.000  0.000
Os  0.000  0.000  0.500
Pt  0.500  0.500  0.500

Size of the total moment   0.00 μB per atom
Energy of formation from the pure elements   -0.046 eV per atom
Theoretical density   17.11 g/cm3
Space group   Cmmm (65)
Crystal system   orthorhombic
Fermi-level density of states   4.3 states/eV per cell
DFT total energy   -10.47 eV per atom

---

[3]
An optimized crystal structure of TcOsPt2, computed with GGA-PBEsol.

abc: 2.714 3.850 5.508
angles: 90.00 90.00 90.00
Positions (direct):
Tc  0.000  0.000  0.000
Os  0.500  0.500  0.226
Pt  0.000  0.000  0.483
Pt  0.500  0.500  0.743

Size of the total moment   0.00 μB per atom
Energy of formation from the pure elements   -0.055 eV per atom
Theoretical density   19.57 g/cm3
Space group   Pmm2 (25)
Crystal system   orthorhombic
Fermi-level density of states   4.3 states/eV per cell
DFT total energy   -9.41 eV per atom

---

> What is the Fermi-level density of states in the first record?

3.6 states/eV per cell